No. 1
Below is a geometry-optimized GaTcSn structure, with properties calculated at the GGA-PBE level.

Cell: 3.3655 4.3270 4.3270 Å, 120.00 90.00 90.00°
Closest atoms and distances in Å follow each position.
Atoms (fractional coordinates):
Sn 0.6666 0.3333 0.6667  6 Tc 3.01, 6 Ga 3.01, 2 Sn 3.37
Ga 0.1667 0.6667 0.3333  3 Tc 2.50
Tc 0.1667 0.0000 0.0000  3 Ga 2.50

Properties
E_tot: -0.20633 Ha/atom
formation energy: 0.184 eV/atom
N(E_F): 1.2 states/eV per cell
crystal system: hexagonal
space-group type: P-6m2 (187)
ΔE to the lowest computed polymorph: 0.284 eV per atom

No. 2
Below is a geometry-optimized BeV2Sb structure, with properties calculated at the GGA-PBE level.

Cell: 4.3409 4.3409 4.3409 Å, 60.00 60.00 60.00°
Closest atoms and distances in Å follow each position.
Atoms (fractional coordinates):
Sb 0.5000 0.5000 0.5000  8 V 2.66
V 0.2500 0.2500 0.2500  4 Sb 2.66, 4 Be 2.66
V 0.7500 0.7500 0.7500  4 Sb 2.66, 4 Be 2.66
Be 0.0000 0.0000 0.0000  8 V 2.66

Properties
raw formation energy: 0.32 eV per atom
E_tot: -0.22785 Ha/atom
N(E_F): 4.0 states/eV per cell
crystal system: cubic
space-group type: Fm-3m (225)
ΔE to the lowest computed polymorph: 0.104 eV per atom

No. 3
Below is a geometry-optimized La2TbSm structure, with properties calculated at the GGA-PBE level.

Cell: 3.6799 3.6799 12.1100 Å, 81.26 81.26 60.00°
Closest atoms and distances in Å follow each position.
Atoms (fractional coordinates):
La 0.0828 0.0828 0.7516  3 Tb 3.62, 3 Sm 3.65, 6 La 3.68
La 0.2504 0.2504 0.2489  3 Tb 3.68, 6 La 3.68, 3 Sm 3.69
Tb 0.6676 0.6676 0.9971  6 La 3.62-3.68, 6 Tb 3.68
Sm 0.4992 0.4992 0.5024  6 La 3.65-3.69, 6 Sm 3.68

Properties
E_tot: -0.17565 Ha/atom
formation energy: 0.021 eV/atom
N(E_F): 6.5 states/eV per cell
crystal system: trigonal
space-group type: R3m (160)
ΔE to the lowest computed polymorph: 0.011 eV per atom